(1)
# BaZnBiF7, relaxed, DFT GGA-PBE
# M_tot = 0.000 μB per formula unit
# Raw total energy = -0.357 Ry per atom
# V = 624.90 Å³ per cell
data_BaZnBiF7
_symmetry_space_group_name_H-M 'P 1 21/c 1'
_symmetry_Int_Tables_number 14
_cell_length_a 5.775
_cell_length_b 11.040
_cell_length_c 9.829
_cell_angle_alpha 90.00
_cell_angle_beta 94.31
_cell_angle_gamma 90.00
loop_
_symmetry_equiv_pos_as_xyz
'x,y,z'
'-x,-y,-z'
'-x,y+1/2,-z+1/2'
'x,-y+1/2,z+1/2'
loop_
_atom_site_label
_atom_site_type_symbol
_atom_site_fract_x
_atom_site_fract_y
_atom_site_fract_z
Ba1 Ba 0.247 0.153 0.467
Zn1 Zn 0.291 0.651 0.711
Bi1 Bi 0.221 0.575 0.365
F1 F 0.017 0.740 0.273
F2 F 0.110 0.513 0.153
F3 F 0.147 0.005 0.114
F4 F 0.173 0.726 0.528
F5 F 0.400 0.559 0.872
F6 F 0.419 0.114 0.907
F7 F 0.492 0.698 0.274

***

(2)
# Ba2FeBi, relaxed, DFT GGA-PBE
# M_tot = 1.181 μB per formula unit
# Formation enthalpy at 0 K = 33 kJ/mol of formula units
# Raw total energy = -0.291 Ry per atom
# V = 725.48 Å³ per cell
data_Ba2FeBi
_symmetry_space_group_name_H-M 'I -4 2 d'
_symmetry_Int_Tables_number 122
_symmetry_space_group_name_Hall 'I -4 2bw'
_cell_length_a 11.957
_cell_length_b 11.957
_cell_length_c 5.075
_cell_angle_alpha 90.00
_cell_angle_beta 90.00
_cell_angle_gamma 90.00
loop_
_atom_site_label
_atom_site_type_symbol
_atom_site_fract_x
_atom_site_fract_y
_atom_site_fract_z
Ba1 Ba 0.065 0.250 0.125
Fe1 Fe 0.000 0.000 0.000
Bi1 Bi 0.000 0.000 0.500

***

(3)
# BaFeBi3, relaxed, DFT GGA-PBE
# E above lowest polymorph = 1454 meV/atom
# M_tot = 3.958 μB per formula unit
# Formation enthalpy at 0 K = 719 kJ/mol of formula units
# Raw total energy = -0.214 Ry per atom
# V = 251.46 Å³ per cell
data_BaFeBi3
_symmetry_space_group_name_H-M 'P m -3 m'
_symmetry_Int_Tables_number 221
_symmetry_space_group_name_Hall '-P 4 2 3'
_cell_length_a 6.312
_cell_length_b 6.312
_cell_length_c 6.312
_cell_angle_alpha 90.00
_cell_angle_beta 90.00
_cell_angle_gamma 90.00
loop_
_atom_site_label
_atom_site_type_symbol
_atom_site_fract_x
_atom_site_fract_y
_atom_site_fract_z
Ba1 Ba 0.000 0.000 0.000
Fe1 Fe 0.500 0.500 0.500
Bi1 Bi 0.000 0.000 0.500